Record 1
Crystalline La3Pm3Tm2 at its relaxed geometry. Source: the Alexandria database, functional PBE-GGA.

E_form: 0.026 eV/atom
Magnetic moment: 0.00 μB per cell
DOS(E_F): 12.98 states/eV/cell

Cell lengths 5.162, 5.186, 10.881 Å; angles 103.79, 103.72, 90.00 degrees
Fractional positions:
La 0.628 0.628 0.256
La 0.372 0.372 0.744
La 0.500 0.000 0.000
Pm 0.129 0.129 0.258
Pm 0.000 0.500 0.000
Pm 0.871 0.871 0.742
Tm 0.749 0.249 0.498
Tm 0.251 0.751 0.502

Record 2
Crystalline La2Pm2Tm3 at its relaxed geometry. Source: the Alexandria database, functional PBE-GGA.

E_form: 0.186 eV/atom
Magnetic moment: 0.00 μB per cell
DOS(E_F): 19.52 states/eV/cell
ΔE to the lowest computed polymorph: 0.006 eV/atom

Cell lengths 6.348, 6.176, 12.991 Å; angles 90.00, 90.00, 111.54 degrees
Fractional positions:
La 0.630 0.405 0.820
La 0.130 0.405 0.680
La 0.870 0.595 0.320
La 0.370 0.595 0.180
Pm 0.636 0.895 0.708
Pm 0.136 0.895 0.792
Pm 0.864 0.105 0.208
Pm 0.364 0.105 0.292
Tm 0.000 0.000 0.500
Tm 0.500 0.000 0.000
Tm 0.882 0.674 0.048
Tm 0.618 0.326 0.548
Tm 0.382 0.674 0.452
Tm 0.118 0.326 0.952

Record 3
Crystalline LaPm6Tm4 at its relaxed geometry. Source: the Alexandria database, functional PBE-GGA.

E_form: 0.157 eV/atom
Magnetic moment: 0.00 μB per cell
DOS(E_F): 15.24 states/eV/cell
ΔE to the lowest computed polymorph: 0.046 eV/atom

Cell lengths 3.568, 11.098, 11.098 Å; angles 120.00, 90.00, 90.00 degrees
Fractional positions:
La 0.000 0.000 0.000
Pm 0.000 0.519 0.038
Pm 0.500 0.635 0.817
Pm 0.000 0.519 0.481
Pm 0.000 0.962 0.481
Pm 0.500 0.183 0.817
Pm 0.500 0.183 0.365
Tm 0.500 0.835 0.670
Tm 0.500 0.330 0.165
Tm 0.500 0.835 0.165
Tm 0.000 0.333 0.667